# PBE-GGA TlMoPt3, relaxed
data_TlMoPt3
_chemical_formula_sum 'Tl1 Mo1 Pt3'
_space_group_name_H-M_alt 'P m -3 m'
_space_group_IT_number 221
_space_group_name_Hall '-P 4 2 3'
_cell_length_a 4.906
_cell_length_b 4.906
_cell_length_c 4.906
_cell_angle_alpha 90.00
_cell_angle_beta 90.00
_cell_angle_gamma 90.00
loop_
_atom_site_label
_atom_site_type_symbol
_atom_site_fract_x
_atom_site_fract_y
_atom_site_fract_z
Tl1 Tl 0.000 0.000 0.000
Mo1 Mo 0.500 0.500 0.500
Pt1 Pt 0.000 0.500 0.500
# Energy relative to the lowest polymorph listed for this composition: 0.0 meV per atom
# Calculated formation energy: 0.852 eV/atom
# Density of states at the Fermi level: 0.9968 states/eV per atom